Record 1
Material: CaTa2Cd
Method: DFT, GGA-PBE
State: relaxed

```
CaTa2Cd
1.0
-1.4948 -1.2729 -3.5454
1.1109 -3.7936 0.8937
-9.9870 -4.2809 3.4314
Cd Ta Ca
2 4 2
Direct
0.7500 0.2500 0.5000 Cd
0.0000 0.0000 0.0000 Cd
0.8750 0.8846 0.7500 Ta
0.1154 0.6250 0.2500 Ta
0.3750 0.3654 0.7500 Ta
0.6346 0.1250 0.2500 Ta
0.5000 0.5000 0.0000 Ca
0.2500 0.7500 0.5000 Ca
```

Summary:
Symmetry ... No. 122
Formation enthalpy at 0 K ... 0.844 eV/atom
Size of the total moment ... 0.0 μB per formula unit



Record 2
Material: TmLuBeCo
Method: DFT, GGA-PBE
State: relaxed

```
TmLuBeCo
1.0
4.6673 0.0000 0.0000
2.3336 4.0420 0.0000
2.3336 1.3473 3.8108
Co Be Tm Lu
1 1 1 1
Direct
0.5000 0.5000 0.5000 Co
0.0000 0.0000 0.0000 Be
0.7500 0.7500 0.7500 Tm
0.2500 0.2500 0.2500 Lu
```

Summary:
Symmetry ... No. 216
Formation enthalpy at 0 K ... -0.102 eV/atom
Size of the total moment ... 0.0 μB per formula unit



Record 3
Material: ErZrCu3
Method: DFT, GGA-PBE
State: relaxed

```
ErZrCu3
1.0
-2.9189 -0.5684 1.5192
0.8561 -4.1396 0.0961
7.0153 1.6933 10.4425
Zr Cu Er
2 6 2
Direct
0.2109 0.7500 0.4218 Zr
0.7891 0.2500 0.5782 Zr
0.6218 0.7500 0.2436 Cu
0.3782 0.2500 0.7564 Cu
0.5239 0.7500 0.0479 Cu
0.4761 0.2500 0.9521 Cu
0.3237 0.7500 0.6475 Cu
0.6763 0.2500 0.3525 Cu
0.0747 0.2500 0.1494 Er
0.9253 0.7500 0.8506 Er
```

Summary:
Symmetry ... No. 63
Formation enthalpy at 0 K ... -0.202 eV/atom
Size of the total moment ... 0.0 μB per formula unit



Record 4
Material: KU6Te12
Method: DFT, GGA-PBE
State: relaxed

```
KU6Te12
1.0
9.1590 -0.1240 -0.1746
-2.3905 8.8425 -0.1746
-2.3905 -3.0792 8.2908
Te U K
12 6 1
Direct
0.4275 0.1702 0.4275 Te
0.1702 0.4275 0.4275 Te
0.5000 0.1268 0.8732 Te
0.8732 0.1268 0.5000 Te
0.5000 0.8732 0.1268 Te
0.8298 0.5725 0.5725 Te
0.1268 0.8732 0.5000 Te
0.5725 0.8298 0.5725 Te
0.4275 0.4275 0.1702 Te
0.5725 0.5725 0.8298 Te
0.1268 0.5000 0.8732 Te
0.8732 0.5000 0.1268 Te
0.7353 0.7353 0.3292 U
0.2647 0.2647 0.6708 U
0.6708 0.2647 0.2647 U
0.2647 0.6708 0.2647 U
0.3292 0.7353 0.7353 U
0.7353 0.3292 0.7353 U
0.0000 0.0000 0.0000 K
```

Summary:
Formation energy from raw total energies ... -0.539 eV per atom
Symmetry ... No. 166
Size of the total moment ... 13.0 μB per formula unit



Record 5
Material: Ca3ScP
Method: DFT, GGA-PBE
State: relaxed

```
Ca3ScP
1.0
-0.5143 0.0803 5.6905
-4.1452 -3.9202 -0.3193
3.8995 -4.1567 0.4110
Ca Sc P
3 1 1
Direct
0.0000 0.5000 0.0000 Ca
0.0000 0.0000 0.5000 Ca
0.5000 0.0000 0.0000 Ca
0.0000 0.0000 0.0000 Sc
0.5000 0.5000 0.5000 P
```

Summary:
Symmetry ... No. 221
Formation enthalpy at 0 K ... 0.961 eV/atom
Size of the total moment ... 3.9 μB per formula unit
ΔE to the lowest computed polymorph ... 1.190 eV/atom



Record 6
Material: Cs2BiCl6F
Method: DFT, GGA-PBE
State: relaxed

```
Cs2BiCl6F
1.0
-1.3823 4.7729 -5.5170
-7.2937 -1.0108 0.9530
-4.4441 6.1705 1.4554
Cl F Bi Cs
6 1 1 2
Direct
0.2288 0.2288 0.5423 Cl
0.7712 0.7712 0.4577 Cl
0.7549 0.7549 0.0000 Cl
0.7549 0.2451 0.0000 Cl
0.2451 0.7549 0.0000 Cl
0.2451 0.2451 0.0000 Cl
0.5000 0.5000 0.0000 F
0.0000 0.0000 0.0000 Bi
0.7500 0.2500 0.5000 Cs
0.2500 0.7500 0.5000 Cs
```

Summary:
Formation energy from raw total energies ... -1.232 eV per atom
Symmetry ... No. 139
Size of the total moment ... 0.0 μB per formula unit



Record 7
Material: LiNpFeN3
Method: DFT, GGA-PBE
State: relaxed

```
LiNpFeN3
1.0
-0.0266 0.2291 3.3161
-5.1923 -3.4289 0.1953
4.9086 -6.1214 0.4622
Fe Li N Np
2 2 6 2
Direct
0.2500 0.0464 0.6070 Fe
0.7500 0.9536 0.3930 Fe
0.2500 0.1372 0.1177 Li
0.7500 0.8628 0.8823 Li
0.7500 0.4150 0.1180 N
0.7500 0.1718 0.5653 N
0.2500 0.5850 0.8820 N
0.2500 0.1249 0.8441 N
0.7500 0.8751 0.1559 N
0.2500 0.8282 0.4347 N
0.7500 0.3566 0.8305 Np
0.2500 0.6434 0.1695 Np
```

Summary:
Formation energy from raw total energies ... -0.572 eV per atom
Symmetry ... No. 11
Size of the total moment ... 1.4 μB per formula unit



Record 8
Material: Ir2Br7Cl2
Method: DFT, GGA-PBE
State: relaxed

```
Ir2Br7Cl2
1.0
-1.8019 5.1785 -6.8292
-3.1906 -5.5186 -2.7747
-6.6713 -0.6260 1.8537
Ir Br Cl
2 7 2
Direct
0.9857 0.7616 0.7616 Ir
0.0143 0.2384 0.2384 Ir
0.0000 0.0000 0.0000 Br
0.1764 0.4843 0.9419 Br
0.8236 0.0581 0.5157 Br
0.1421 0.4293 0.4292 Br
0.1764 0.9419 0.4843 Br
0.8236 0.5157 0.0581 Br
0.8579 0.5707 0.5708 Br
0.5000 0.8683 0.1317 Cl
0.5000 0.1317 0.8683 Cl
```

Summary:
Formation energy from raw total energies ... -0.004 eV per atom
Symmetry ... No. 12
Size of the total moment ... 0.0 μB per formula unit



Record 9
Material: TaHgTe2
Method: DFT, GGA-PBE
State: relaxed

```
TaHgTe2
1.0
-4.3922 -6.0790 -4.9254
0.9902 -2.5341 2.2446
-10.3885 1.9808 6.8192
Te Hg Ta
8 4 4
Direct
0.7333 0.7500 0.2739 Te
0.2667 0.2500 0.7261 Te
0.1503 0.2500 0.9789 Te
0.7667 0.2500 0.7739 Te
0.6503 0.2500 0.5211 Te
0.8497 0.7500 0.0211 Te
0.3497 0.7500 0.4789 Te
0.2333 0.7500 0.2261 Te
0.0077 0.7500 0.4082 Hg
0.9923 0.2500 0.5918 Hg
0.4923 0.2500 0.9082 Hg
0.5077 0.7500 0.0918 Hg
0.5370 0.7500 0.6760 Ta
0.9630 0.2500 0.1760 Ta
0.0370 0.7500 0.8240 Ta
0.4630 0.2500 0.3240 Ta
```

Summary:
Formation energy from raw total energies ... 0.180 eV per atom
Symmetry ... No. 62
Size of the total moment ... 0.0 μB per formula unit



Record 10
Material: BeZnPb2
Method: DFT, GGA-PBE
State: relaxed

```
BeZnPb2
1.0
3.3504 0.0000 0.0000
0.0000 3.3502 0.0000
0.0000 0.0000 8.1804
Pb Be Zn
2 1 1
Direct
0.0000 0.0000 0.9199 Pb
0.5000 0.5000 0.3264 Pb
0.5000 0.5000 0.6878 Be
0.0000 0.0000 0.5659 Zn
```

Summary:
Symmetry ... No. 99
Formation enthalpy at 0 K ... 0.325 eV/atom
Size of the total moment ... 0.0 μB per formula unit
ΔE to the lowest computed polymorph ... 0.103 eV/atom



Record 11
Material: CoPRu2
Method: DFT, GGA-PBE
State: relaxed

```
CoPRu2
1.0
4.8969 0.0082 -0.0069
4.0684 2.7254 -0.0069
1.7573 0.5358 3.7139
Co P Ru
1 1 2
Direct
0.5392 0.5392 0.4606 Co
0.2403 0.2403 0.2598 P
0.9690 0.9690 0.0309 Ru
0.7514 0.7514 0.7486 Ru
```

Summary:
Symmetry ... No. 44
Formation enthalpy at 0 K ... -0.161 eV/atom
Size of the total moment ... 0.3 μB per formula unit



Record 12
Material: TlTc2Pt
Method: DFT, GGA-PBE
State: relaxed

```
TlTc2Pt
1.0
-3.8169 2.8716 0.5775
-3.2211 1.4489 3.2671
2.0191 4.1923 1.7703
Pt Tl Tc
1 1 2
Direct
0.7413 0.7413 0.7577 Pt
0.5020 0.5020 0.5146 Tl
0.2668 0.2668 0.1871 Tc
0.9898 0.9898 0.0406 Tc
```

Summary:
Symmetry ... No. 8
Formation enthalpy at 0 K ... 0.351 eV/atom
Size of the total moment ... 0.0 μB per formula unit
ΔE to the lowest computed polymorph ... 0.158 eV/atom



Record 13
Material: Cs2LiZr2Te6
Method: DFT, GGA-PBE
State: relaxed

```
Cs2LiZr2Te6
1.0
7.2484 0.0000 0.0819
-3.5825 6.3011 0.0819
-1.2749 -2.1915 9.1891
Li Te Zr Cs
1 6 2 2
Direct
0.0000 0.0000 0.5000 Li
0.2947 0.2947 0.3142 Te
0.4008 0.0619 0.6821 Te
0.0619 0.4008 0.6821 Te
0.7053 0.7053 0.6858 Te
0.5992 0.9381 0.3179 Te
0.9381 0.5992 0.3179 Te
0.3319 0.6681 0.5000 Zr
0.6681 0.3319 0.5000 Zr
0.8350 0.1650 0.0000 Cs
0.1650 0.8350 0.0000 Cs
```

Summary:
Formation energy from raw total energies ... -0.903 eV per atom
Symmetry ... No. 12
Size of the total moment ... 0.0 μB per formula unit



Record 14
Material: TmBePb
Method: DFT, GGA-PBE
State: relaxed

```
TmBePb
1.0
-3.0615 2.1458 1.3119
-2.7168 -2.9055 -1.5877
-1.1727 -5.3187 5.9632
Be Tm Pb
2 2 2
Direct
0.7500 0.4661 0.0679 Be
0.2500 0.5339 0.9321 Be
0.2500 0.9134 0.1732 Tm
0.7500 0.0866 0.8268 Tm
0.7500 0.2981 0.4037 Pb
0.2500 0.7019 0.5963 Pb
```

Summary:
Symmetry ... No. 63
Formation enthalpy at 0 K ... -0.110 eV/atom
Size of the total moment ... 0.0 μB per formula unit



Record 15
Material: Ca2Se
Method: DFT, GGA-PBE
State: relaxed

```
Ca2Se
1.0
-2.3551 -0.4848 6.6560
-5.6766 -2.6691 3.2764
5.2454 -0.7083 -4.6976
Ca Se
2 1
Direct
0.8676 0.8676 0.0000 Ca
0.1324 0.1324 0.0000 Ca
0.5000 0.5000 0.0000 Se
```

Summary:
Formation energy from raw total energies ... -1.133 eV per atom
Symmetry ... No. 139
Size of the total moment ... 0.0 μB per formula unit



Record 16
Material: Sr2AlSi3Pt4
Method: DFT, GGA-PBE
State: relaxed

```
Sr2AlSi3Pt4
1.0
4.3015 0.0000 0.0000
0.0000 4.3015 0.0000
0.0000 0.0000 10.2045
Pt Si Sr Al
4 3 2 1
Direct
0.0000 0.5000 0.3694 Pt
0.5000 0.5000 0.0000 Pt
0.0000 0.0000 0.0000 Pt
0.5000 0.0000 0.6306 Pt
0.0000 0.0000 0.5000 Si
0.5000 0.0000 0.8736 Si
0.0000 0.5000 0.1264 Si
0.5000 0.0000 0.2504 Sr
0.0000 0.5000 0.7496 Sr
0.5000 0.5000 0.5000 Al
```

Summary:
Formation energy from raw total energies ... -0.950 eV per atom
Symmetry ... No. 115
Size of the total moment ... 0.0 μB per formula unit



Record 17
Material: SrAg2Rh2
Method: DFT, GGA-PBE
State: relaxed

```
SrAg2Rh2
1.0
7.8368 0.0000 0.0000
0.0000 7.8368 0.0000
0.0000 0.0000 3.1512
Sr Rh Ag
2 4 4
Direct
0.0000 0.0000 0.0000 Sr
0.5000 0.5000 0.0000 Sr
0.8823 0.6177 0.0000 Rh
0.1177 0.3823 0.0000 Rh
0.3823 0.8823 0.0000 Rh
0.6177 0.1177 0.0000 Rh
0.8237 0.3237 0.5000 Ag
0.6763 0.8237 0.5000 Ag
0.3237 0.1763 0.5000 Ag
0.1763 0.6763 0.5000 Ag
```

Summary:
Symmetry ... No. 127
Formation enthalpy at 0 K ... 0.136 eV/atom
Size of the total moment ... 0.0 μB per formula unit
ΔE to the lowest computed polymorph ... 0.015 eV/atom



Record 18
Material: Sc6Pb3N
Method: DFT, GGA-PBE
State: relaxed

```
Sc6Pb3N
1.0
6.0544 0.0000 0.0000
0.0000 8.9249 0.4291
0.0000 -1.5733 8.7956
Pb Sc N
6 12 2
Direct
0.3869 0.4741 0.5259 Pb
0.8869 0.5259 0.4741 Pb
0.0369 0.0156 0.2548 Pb
0.0369 0.7452 0.9844 Pb
0.5369 0.2548 0.0156 Pb
0.5369 0.9844 0.7452 Pb
0.5292 0.9072 0.0928 Sc
0.1599 0.3323 0.2262 Sc
0.2010 0.1427 0.5639 Sc
0.7289 0.2970 0.7030 Sc
0.6599 0.6677 0.7738 Sc
0.6599 0.2262 0.3323 Sc
0.1599 0.7738 0.6677 Sc
0.2010 0.4361 0.8573 Sc
0.7010 0.8573 0.4361 Sc
0.0292 0.0928 0.9072 Sc
0.2289 0.7030 0.2970 Sc
0.7010 0.5639 0.1427 Sc
0.5448 0.7533 0.2467 N
0.0448 0.2467 0.7533 N
```

Summary:
Formation energy from raw total energies ... -0.493 eV per atom
Symmetry ... No. 36
Size of the total moment ... 1.5 μB per formula unit



Record 19
Material: SiRh2Br
Method: DFT, GGA-PBE
State: relaxed

```
SiRh2Br
1.0
-0.6486 0.9901 2.7890
-2.2898 -3.7809 0.8098
3.7451 -1.9345 1.5577
Si Rh Br
1 2 1
Direct
0.5000 0.5000 0.0000 Si
0.0000 0.0000 0.0000 Rh
0.0000 0.5000 0.5000 Rh
0.5000 0.0000 0.5000 Br
```

Summary:
Formation energy from raw total energies ... 0.267 eV per atom
Symmetry ... No. 123
Size of the total moment ... 0.0 μB per formula unit
ΔE to the lowest computed polymorph ... 0.593 eV/atom



Record 20
Material: LiMnCr2
Method: DFT, GGA-PBE
State: relaxed

```
LiMnCr2
1.0
-4.1677 -0.8719 2.1137
-0.5414 -4.1709 2.2155
2.5369 4.0137 -0.2280
Cr Li Mn
2 1 1
Direct
0.5152 0.5152 0.0000 Cr
0.9848 0.9848 0.0000 Cr
0.2500 0.7500 0.5000 Li
0.7500 0.2500 0.5000 Mn
```

Summary:
Symmetry ... No. 71
Formation enthalpy at 0 K ... 0.374 eV/atom
Size of the total moment ... 0.7 μB per formula unit
ΔE to the lowest computed polymorph ... 0.129 eV/atom



Record 21
Material: EuTlCd4
Method: DFT, GGA-PBE
State: relaxed

```
EuTlCd4
1.0
-1.1666 -1.7291 5.7231
4.1371 -3.2058 3.1165
2.9958 2.5825 4.6326
Cd Eu Tl
4 1 1
Direct
0.6250 0.6250 0.1250 Cd
0.6250 0.6250 0.6250 Cd
0.1250 0.6250 0.6250 Cd
0.6250 0.1250 0.6250 Cd
0.2500 0.2500 0.2500 Eu
0.0000 0.0000 0.0000 Tl
```

Summary:
Symmetry ... No. 216
Formation enthalpy at 0 K ... -0.175 eV/atom
Size of the total moment ... 7.2 μB per formula unit



Record 22
Material: SmYAlGa
Method: DFT, GGA-PBE
State: relaxed

```
SmYAlGa
1.0
5.1361 0.0000 0.0000
2.5680 4.4480 0.0000
2.5680 1.4827 4.1936
Al Sm Y Ga
1 1 1 1
Direct
0.5000 0.5000 0.5000 Al
0.2500 0.2500 0.2500 Sm
0.7500 0.7500 0.7500 Y
0.0000 0.0000 0.0000 Ga
```

Summary:
Symmetry ... No. 216
Formation enthalpy at 0 K ... -0.484 eV/atom
Size of the total moment ... 0.0 μB per formula unit
ΔE to the lowest computed polymorph ... 0.036 eV/atom



Record 23
Material: HfSiOs
Method: DFT, GGA-PBE
State: relaxed

```
HfSiOs
1.0
-0.2815 7.2422 2.2852
-5.3006 2.4448 -4.8660
-0.4788 -5.7557 4.9390
Os Hf Si
6 6 6
Direct
0.8485 0.4971 0.5944 Os
0.1515 0.7459 0.6486 Os
0.4026 0.4971 0.1486 Os
0.5974 0.7459 0.0944 Os
0.0000 0.2499 0.2499 Os
0.5000 0.2499 0.7499 Os
0.9702 0.4921 0.0219 Hf
0.0298 0.0517 0.5219 Hf
0.7531 0.9198 0.6667 Hf
0.2469 0.9135 0.1667 Hf
0.5523 0.0967 0.0444 Hf
0.4477 0.4921 0.5444 Hf
0.1735 0.1626 0.0014 Si
0.6612 0.1626 0.4891 Si
0.3388 0.8279 0.5014 Si
0.7756 0.5312 0.2556 Si
0.8265 0.8279 0.9891 Si
0.2244 0.4800 0.7556 Si
```

Summary:
Formation energy from raw total energies ... -0.859 eV per atom
Symmetry ... No. 46
Size of the total moment ... 0.0 μB per formula unit



Let's list uncorrected energy in order: -46.49, -20.23, -52.81, -116.77, -12.94, -30.85, -103.46, -33.17, -70.86, -11.12, -31.71, -27.73, -49.51, -24.47, -10.89, -57.04, -42.81, -124.74, -20.73, -28.83, -17.35, -19.89, -175.11 eV per cell.